No. 1
The following is a PBE calculation of an optimized crystal structure of CaLa3Pm2Sm6, from the Alexandria database.

Results
* DFT formation energy: 0.04 eV per atom

a = 6.380 Å, b = 6.380 Å, c = 12.176 Å
α = 95.04°, β = 95.04°, γ = 120.07°
Fractional positions:
1 Ca 0.000 0.000 0.000
2 La 0.166 0.834 0.500
3 La 0.834 0.166 0.500
4 La 0.500 0.500 0.500
5 Pm 0.333 0.667 0.000
6 Pm 0.667 0.333 0.000
7 Sm 0.917 0.578 0.750
8 Sm 0.745 0.745 0.250
9 Sm 0.083 0.422 0.250
10 Sm 0.578 0.917 0.750
11 Sm 0.255 0.255 0.750
12 Sm 0.422 0.083 0.250



No. 2
The following is a PBE calculation of an optimized crystal structure of CaLa3Pm6Sm2, from the Alexandria database.

Results
* DFT formation energy: 0.04 eV per atom

a = 6.396 Å, b = 6.396 Å, c = 12.196 Å
α = 95.04°, β = 95.04°, γ = 120.08°
Fractional positions:
1 Ca 0.000 0.000 0.000
2 La 0.166 0.834 0.500
3 La 0.834 0.166 0.500
4 La 0.500 0.500 0.500
5 Pm 0.916 0.577 0.751
6 Pm 0.744 0.744 0.250
7 Pm 0.084 0.423 0.249
8 Pm 0.577 0.916 0.751
9 Pm 0.256 0.256 0.750
10 Pm 0.423 0.084 0.249
11 Sm 0.333 0.667 0.000
12 Sm 0.667 0.333 0.000



No. 3
The following is a PBE calculation of an optimized crystal structure of CaLa2Pm6Sm3, from the Alexandria database.

Results
* DFT formation energy: 0.03 eV per atom

a = 6.375 Å, b = 6.375 Å, c = 12.180 Å
α = 95.03°, β = 95.03°, γ = 120.03°
Fractional positions:
1 Ca 0.000 0.000 0.000
2 La 0.333 0.667 0.000
3 La 0.667 0.333 0.000
4 Pm 0.914 0.577 0.745
5 Pm 0.749 0.749 0.256
6 Pm 0.086 0.423 0.255
7 Pm 0.577 0.914 0.745
8 Pm 0.251 0.251 0.744
9 Pm 0.423 0.086 0.255
10 Sm 0.166 0.834 0.500
11 Sm 0.834 0.166 0.500
12 Sm 0.500 0.500 0.500



No. 4
The following is a PBE calculation of an optimized crystal structure of CaLa2Pm2Sm2, from the Alexandria database.

Results
* DFT formation energy: 0.05 eV per atom

a = 5.270 Å, b = 6.424 Å, c = 8.225 Å
α = 97.78°, β = 90.00°, γ = 114.21°
Fractional positions:
1 Ca 0.000 0.000 0.000
2 La 0.145 0.289 0.433
3 La 0.855 0.711 0.567
4 Pm 0.717 0.433 0.145
5 Pm 0.283 0.567 0.855
6 Sm 0.575 0.151 0.708
7 Sm 0.425 0.849 0.292



No. 5
The following is a PBE calculation of an optimized crystal structure of CaLaPm4Sm2, from the Alexandria database.

Results
* DFT formation energy: 0.37 eV per atom

a = 9.745 Å, b = 9.745 Å, c = 12.098 Å
α = 128.38°, β = 128.38°, γ = 88.46°
Fractional positions:
1 Ca 0.500 0.500 0.500
2 Ca 0.000 0.000 0.000
3 La 0.000 0.500 0.000
4 La 0.000 0.500 0.500
5 Pm 0.255 0.751 0.003
6 Pm 0.749 0.245 0.497
7 Pm 0.251 0.755 0.503
8 Pm 0.745 0.249 0.997
9 Pm 0.749 0.751 0.012
10 Pm 0.749 0.751 0.488
11 Pm 0.251 0.249 0.512
12 Pm 0.251 0.249 0.988
13 Sm 0.500 0.000 0.000
14 Sm 0.500 0.000 0.500
15 Sm 0.000 0.000 0.500
16 Sm 0.500 0.500 0.000



No. 6
The following is a PBE calculation of an optimized crystal structure of CaLa3Tb2Pm6, from the Alexandria database.

Results
* DFT formation energy: 0.04 eV per atom

a = 6.384 Å, b = 6.384 Å, c = 12.132 Å
α = 95.02°, β = 95.02°, γ = 120.06°
Fractional positions:
1 Ca 0.000 0.000 0.000
2 La 0.166 0.834 0.500
3 La 0.834 0.166 0.500
4 La 0.500 0.500 0.500
5 Tb 0.333 0.667 0.000
6 Tb 0.667 0.333 0.000
7 Pm 0.917 0.576 0.752
8 Pm 0.743 0.743 0.248
9 Pm 0.083 0.424 0.248
10 Pm 0.576 0.917 0.752
11 Pm 0.257 0.257 0.752
12 Pm 0.424 0.083 0.248



No. 7
The following is a PBE calculation of an optimized crystal structure of CaLa2PmTe4, from the Alexandria database.

Results
* formation energy from raw total energies: -1.5436 eV per atom

a = 4.510 Å, b = 7.853 Å, c = 7.872 Å
α = 70.85°, β = 90.00°, γ = 90.00°
Fractional positions:
1 Ca 0.500 0.500 0.000
2 La 0.000 0.000 0.000
3 La 0.500 0.000 0.500
4 Pm 0.000 0.500 0.500
5 Te 0.000 0.740 0.755
6 Te 0.000 0.260 0.245
7 Te 0.500 0.741 0.251
8 Te 0.500 0.259 0.749



No. 8
The following is a PBE calculation of an optimized crystal structure of Ca3LaPm2Te6, from the Alexandria database.

Results
* formation energy from raw total energies: -1.5342 eV per atom

a = 4.468 Å, b = 9.077 Å, c = 10.131 Å
α = 104.39°, β = 102.74°, γ = 90.00°
Fractional positions:
1 Ca 0.500 0.500 0.000
2 Ca 0.834 0.167 0.668
3 Ca 0.166 0.833 0.332
4 La 0.500 0.000 0.000
5 Pm 0.831 0.662 0.662
6 Pm 0.169 0.338 0.338
7 Te 0.331 0.915 0.661
8 Te 0.666 0.586 0.331
9 Te 0.669 0.085 0.339
10 Te 0.000 0.257 0.001
11 Te 0.000 0.743 0.999
12 Te 0.334 0.414 0.669



No. 9
The following is a PBE calculation of an optimized crystal structure of CaLa3Pm4Te8, from the Alexandria database.

Results
* formation energy from raw total energies: -1.4996 eV per atom

a = 9.042 Å, b = 9.024 Å, c = 9.039 Å
α = 120.04°, β = 120.01°, γ = 90.00°
Fractional positions:
1 Ca 0.000 0.500 0.000
2 La 0.500 0.500 0.000
3 La 0.500 0.500 0.500
4 La 0.000 0.500 0.500
5 Pm 0.500 0.000 0.000
6 Pm 0.500 0.000 0.500
7 Pm 0.000 0.000 0.000
8 Pm 0.000 0.000 0.500
9 Te 0.249 0.753 0.005
10 Te 0.249 0.753 0.497
11 Te 0.248 0.243 0.495
12 Te 0.756 0.753 0.005
13 Te 0.244 0.247 0.995
14 Te 0.752 0.757 0.505
15 Te 0.751 0.247 0.503
16 Te 0.751 0.247 0.995



No. 10
The following is a PBE calculation of an optimized crystal structure of Ca2La3PmTe6, from the Alexandria database.

Results
* formation energy from raw total energies: -1.5567 eV per atom

a = 7.841 Å, b = 7.841 Å, c = 7.888 Å
α = 99.54°, β = 99.54°, γ = 120.03°
Fractional positions:
1 Ca 0.333 0.667 0.000
2 Ca 0.667 0.333 0.000
3 La 0.167 0.833 0.500
4 La 0.833 0.167 0.500
5 La 0.500 0.500 0.500
6 Pm 0.000 0.000 0.000
7 Te 0.920 0.584 0.760
8 Te 0.745 0.745 0.241
9 Te 0.080 0.416 0.240
10 Te 0.584 0.920 0.760
11 Te 0.255 0.255 0.759
12 Te 0.416 0.080 0.240



No. 11
The following is a PBE calculation of an optimized crystal structure of Ca3LaPm3Te8, from the Alexandria database.

Results
* formation energy from raw total energies: -1.5308 eV per atom

a = 8.939 Å, b = 8.938 Å, c = 9.014 Å
α = 119.71°, β = 90.00°, γ = 120.00°
Fractional positions:
1 Ca 0.000 0.000 0.000
2 Ca 0.000 0.500 0.000
3 Ca 0.500 0.500 0.000
4 La 0.000 0.000 0.500
5 Pm 0.500 0.000 0.500
6 Pm 0.500 0.500 0.500
7 Pm 0.000 0.500 0.500
8 Te 0.249 0.499 0.248
9 Te 0.751 0.501 0.752
10 Te 0.744 0.489 0.245
11 Te 0.256 0.511 0.755
12 Te 0.745 0.001 0.245
13 Te 0.255 0.999 0.755
14 Te 0.256 0.001 0.245
15 Te 0.744 0.999 0.755



No. 12
The following is a PBE calculation of an optimized crystal structure of CaLa2Pm3Te6, from the Alexandria database.

Results
* formation energy from raw total energies: -1.5075 eV per atom

a = 4.490 Å, b = 9.066 Å, c = 10.086 Å
α = 102.91°, β = 102.86°, γ = 90.00°
Fractional positions:
1 Ca 0.500 0.000 0.000
2 La 0.831 0.664 0.662
3 La 0.169 0.336 0.338
4 Pm 0.500 0.500 0.000
5 Pm 0.831 0.171 0.661
6 Pm 0.169 0.829 0.339
7 Te 0.336 0.925 0.672
8 Te 0.663 0.585 0.327
9 Te 0.664 0.075 0.328
10 Te 0.998 0.247 0.996
11 Te 0.002 0.753 0.004
12 Te 0.337 0.415 0.673



No. 13
The following is a PBE calculation of an optimized crystal structure of Ca3La2PmTe6, from the Alexandria database.

Results
* formation energy from raw total energies: -1.5602 eV per atom

a = 4.493 Å, b = 9.112 Å, c = 10.173 Å
α = 104.24°, β = 102.76°, γ = 90.00°
Fractional positions:
1 Ca 0.500 0.500 0.000
2 Ca 0.833 0.167 0.665
3 Ca 0.167 0.833 0.335
4 La 0.835 0.671 0.671
5 La 0.165 0.329 0.329
6 Pm 0.500 0.000 0.000
7 Te 0.333 0.925 0.667
8 Te 0.665 0.587 0.330
9 Te 0.667 0.075 0.333
10 Te 0.997 0.250 0.994
11 Te 0.003 0.750 0.006
12 Te 0.335 0.413 0.670



No. 14
The following is a PBE calculation of an optimized crystal structure of Ca2LaPmTe4, from the Alexandria database.

Results
* formation energy from raw total energies: -1.5461 eV per atom

a = 6.391 Å, b = 6.391 Å, c = 7.822 Å
α = 114.11°, β = 114.11°, γ = 90.00°
Fractional positions:
1 Ca 0.250 0.750 0.500
2 Ca 0.000 0.000 0.000
3 La 0.750 0.250 0.500
4 Pm 0.500 0.500 0.000
5 Te 0.005 0.505 0.009
6 Te 0.495 0.995 0.991
7 Te 0.752 0.752 0.504
8 Te 0.248 0.248 0.496



No. 15
The following is a PBE calculation of an optimized crystal structure of CaLa2PmTl4, from the Alexandria database.

Results
* DFT formation energy: -0.43 eV per atom

a = 5.552 Å, b = 5.552 Å, c = 9.702 Å
α = 73.37°, β = 73.37°, γ = 60.00°
Fractional positions:
1 Ca 0.500 0.500 0.500
2 La 0.755 0.755 0.736
3 La 0.245 0.245 0.264
4 Pm 0.000 0.000 0.000
5 Tl 0.373 0.373 0.880
6 Tl 0.877 0.877 0.369
7 Tl 0.123 0.123 0.631
8 Tl 0.627 0.627 0.120



No. 16
The following is a PBE calculation of an optimized crystal structure of CaLaPmTl, from the Alexandria database.

Results
* DFT formation energy: -0.13 eV per atom

a = 5.682 Å, b = 5.682 Å, c = 5.682 Å
α = 60.00°, β = 60.00°, γ = 60.00°
Fractional positions:
1 Tl 0.750 0.750 0.750
2 La 0.000 0.000 0.000
3 Ca 0.250 0.250 0.250
4 Pm 0.500 0.500 0.500



No. 17
The following is a PBE calculation of an optimized crystal structure of CaLaPmTm, from the Alexandria database.

Results
* DFT formation energy: 0.11 eV per atom

a = 5.851 Å, b = 5.851 Å, c = 5.851 Å
α = 60.00°, β = 60.00°, γ = 60.00°
Fractional positions:
1 Ca 0.750 0.750 0.750
2 Tm 0.250 0.250 0.250
3 La 0.500 0.500 0.500
4 Pm 0.000 0.000 0.000



No. 18
The following is a PBE calculation of an optimized crystal structure of CaLa2Pm6Tm3, from the Alexandria database.

Results
* DFT formation energy: 0.04 eV per atom

a = 6.316 Å, b = 6.316 Å, c = 12.012 Å
α = 95.02°, β = 95.02°, γ = 120.02°
Fractional positions:
1 Ca 0.000 0.000 0.000
2 La 0.333 0.667 0.000
3 La 0.667 0.333 0.000
4 Pm 0.913 0.576 0.741
5 Pm 0.751 0.751 0.260
6 Pm 0.087 0.424 0.259
7 Pm 0.576 0.913 0.741
8 Pm 0.249 0.249 0.740
9 Pm 0.424 0.087 0.259
10 Tm 0.166 0.834 0.500
11 Tm 0.834 0.166 0.500
12 Tm 0.500 0.500 0.500



No. 19
The following is a PBE calculation of an optimized crystal structure of CaLaPmY, from the Alexandria database.

Results
* DFT formation energy: 0.14 eV per atom

a = 5.894 Å, b = 5.894 Å, c = 5.894 Å
α = 60.00°, β = 60.00°, γ = 60.00°
Fractional positions:
1 Y 0.750 0.750 0.750
2 Ca 0.000 0.000 0.000
3 La 0.250 0.250 0.250
4 Pm 0.500 0.500 0.500



No. 20
The following is a PBE calculation of an optimized crystal structure of CaLaPmY, from the Alexandria database.

Results
* DFT formation energy: 0.05 eV per atom

a = 3.704 Å, b = 3.704 Å, c = 10.597 Å
α = 90.00°, β = 89.99°, γ = 89.99°
Fractional positions:
1 Ca 0.146 0.854 0.731
2 La 0.646 0.354 0.455
3 Pm 0.146 0.854 0.216
4 Y 0.646 0.354 0.988